Density functional theory data (PBEsol) for a geometry-optimized Na3TlFe structure.

Unit cell a=5.4055 b=5.4055 c=5.4055 alpha=90.00 beta=90.00 gamma=90.00
Atoms (fractional coordinates):
Na (0.0000, 0.0000, 0.5000)
Na (0.0000, 0.5000, 0.0000)
Na (0.5000, 0.0000, 0.0000)
Tl (0.5000, 0.5000, 0.5000)
Fe (0.0000, 0.0000, 0.0000)

Calculated values
The total magnetic moment is 0.577 μB/atom. The space-group type is No. 221. The energy of formation from the pure elements comes out at 876 meV per atom.



Density functional theory data (PBEsol) for a geometry-optimized NaYFe3 structure.

Unit cell a=4.5059 b=4.5059 c=4.5059 alpha=90.00 beta=90.00 gamma=90.00
Atoms (fractional coordinates):
Na (0.0000, 0.0000, 0.0000)
Y (0.5000, 0.5000, 0.5000)
Fe (0.0000, 0.0000, 0.5000)
Fe (0.0000, 0.5000, 0.0000)
Fe (0.5000, 0.0000, 0.0000)

Calculated values
The total magnetic moment is 1.494 μB/atom. The space-group type is No. 221. The energy of formation from the pure elements comes out at 1528 meV per atom.



Density functional theory data (PBEsol) for a geometry-optimized NaZn3Fe structure.

Unit cell a=4.6763 b=4.6763 c=4.6763 alpha=90.00 beta=90.00 gamma=90.00
Atoms (fractional coordinates):
Na (0.0000, 0.0000, 0.0000)
Zn (0.0000, 0.0000, 0.5000)
Zn (0.0000, 0.5000, 0.0000)
Zn (0.5000, 0.0000, 0.0000)
Fe (0.5000, 0.5000, 0.5000)

Calculated values
The total magnetic moment is 0.643 μB/atom. The space-group type is No. 221. The energy of formation from the pure elements comes out at 1428 meV per atom.